Here is a geometry-optimized NiPAu structure from Alexandria via LeMat-Bulk. Energies are from PBE-GGA.

a = 3.8116 Å, b = 3.8116 Å, c = 3.5554 Å
α = 90.00°, β = 90.00°, γ = 120.00°
Last column: nearest neighbours and their distance in Å.
Positions (direct):
Au 0.0000 0.0000 0.9999  6 P 2.83, 6 Ni 2.83
Ni 0.3333 0.6667 0.4998  3 P 2.20
P 0.6667 0.3333 0.5003  3 Ni 2.20

Output
ΔE_f (eV per atom): 0.014
Total DFT energy (no corrections) (eV for the cell shown): -14.426
Crystal system: hexagonal
DOS at the Fermi energy (states/eV/atom): 0.655
Size of the total moment (μB per formula unit): 0.0


Here is a geometry-optimized LaMn6Ge6 structure from Alexandria via LeMat-Bulk. Energies are from PBE-GGA.

a = 5.2190 Å, b = 6.6534 Å, c = 6.6534 Å
α = 76.67°, β = 66.91°, γ = 66.91°
Last column: nearest neighbours and their distance in Å.
Positions (direct):
Ge 0.3258 0.1742 0.1742  6 Mn 2.54-2.61
Ge 0.0000 0.6513 0.3487  1 Ge 2.50, 6 Mn 2.73
Mn 0.5000 0.2520 0.7480  6 Ge 2.51-2.73, 4 Mn 2.61
Ge 0.0000 0.3487 0.6513  1 Ge 2.50, 6 Mn 2.73
La 0.0000 0.0000 0.0000  8 Ge 2.88-3.07
Mn 0.5000 0.0000 0.5000  6 Ge 2.54-2.73, 4 Mn 2.61
Mn 0.0000 0.5000 0.0000  6 Ge 2.54-2.73, 4 Mn 2.61
Mn 0.5000 0.7480 0.2520  6 Ge 2.51-2.73, 4 Mn 2.61
Ge 0.6604 0.3396 0.3396  6 Mn 2.51-2.57
Mn 0.5000 0.5000 0.0000  6 Ge 2.54-2.73, 4 Mn 2.61
Mn 0.0000 0.0000 0.5000  6 Ge 2.54-2.73, 4 Mn 2.61
Ge 0.3396 0.6604 0.6604  6 Mn 2.51-2.57
Ge 0.6742 0.8258 0.8258  6 Mn 2.54-2.61

Output
ΔE_f (eV per atom): -0.258
Total DFT energy (no corrections) (eV for the cell shown): -90.998
Crystal system: orthorhombic
DOS at the Fermi energy (states/eV/atom): 0.392
Size of the total moment (μB per formula unit): 11.6


Here is a geometry-optimized HfHg3C structure from Alexandria via LeMat-Bulk. Energies are from PBE-GGA.

a = 4.6755 Å, b = 4.6755 Å, c = 4.6755 Å
α = 90.00°, β = 90.00°, γ = 90.00°
Last column: nearest neighbours and their distance in Å.
Positions (direct):
Hg 0.0000 0.5000 0.0000  2 C 2.34
Hg 0.0000 0.0000 0.5000  2 C 2.34
Hf 0.5000 0.5000 0.5000  12 Hg 3.31
Hg 0.5000 0.0000 0.0000  2 C 2.34
C 0.0000 0.0000 0.0000  6 Hg 2.34

Output
ΔE_f (eV per atom): 1.251
Total DFT energy (no corrections) (eV for the cell shown): -13.828
Crystal system: cubic
DOS at the Fermi energy (states/eV/atom): 0.916
Size of the total moment (μB per formula unit): 0.0


Here is a geometry-optimized Tc3PtN structure from Alexandria via LeMat-Bulk. Energies are from PBE-GGA.

a = 4.7978 Å, b = 4.7978 Å, c = 4.7978 Å
α = 90.00°, β = 90.00°, γ = 90.00°
Last column: nearest neighbours and their distance in Å.
Positions (direct):
Pt 0.0000 0.0000 0.0000  6 Tc 2.40
N 0.5000 0.5000 0.5000  12 Tc 3.39
Tc 0.5000 0.0000 0.0000  2 Pt 2.40
Tc 0.0000 0.0000 0.5000  2 Pt 2.40
Tc 0.0000 0.5000 0.0000  2 Pt 2.40

Output
Total DFT energy (no corrections) (eV for the cell shown): -30.233
Crystal system: cubic
Formation energy without anion corrections (eV/f.u.): 15.23
DOS at the Fermi energy (states/eV/atom): 1.694
Size of the total moment (μB per formula unit): 2.9


Here is a geometry-optimized LiGdMg structure from Alexandria via LeMat-Bulk. Energies are from PBE-GGA.

a = 3.5676 Å, b = 3.5676 Å, c = 6.4029 Å
α = 106.18°, β = 106.18°, γ = 90.00°
Last column: nearest neighbours and their distance in Å.
Positions (direct):
Li 0.3131 0.3131 0.6262  4 Mg 2.92
Gd 0.9988 0.9988 0.9977  5 Li 3.34-3.70, 5 Mg 3.36-3.66, 4 Gd 3.57
Mg 0.6881 0.6881 0.3761  4 Li 2.92

Output
ΔE_f (eV per atom): 0.017
Total DFT energy (no corrections) (eV for the cell shown): -17.537
Crystal system: tetragonal
DOS at the Fermi energy (states/eV/atom): 1.266
Size of the total moment (μB per formula unit): 7.8


Here is a geometry-optimized Ho3Ga4Cu2 structure from Alexandria via LeMat-Bulk. Energies are from PBE-GGA.

a = 4.3076 Å, b = 4.3076 Å, c = 22.1808 Å
α = 90.00°, β = 90.00°, γ = 120.00°
Last column: nearest neighbours and their distance in Å.
Positions (direct):
Ga 0.6667 0.3333 0.5146  3 Ga 2.56
Ho 0.0000 0.0000 0.5881  3 Cu 2.90, 6 Ga 2.97-3.09
Cu 0.6667 0.3333 0.6554  3 Ga 2.51
Ga 0.6667 0.3333 0.8452  3 Ga 2.56
Ga 0.3333 0.6667 0.8171  3 Ga 2.56
Ga 0.3333 0.6667 0.1550  3 Ga 2.57
Ga 0.3333 0.6667 0.3404  3 Cu 2.51
Ho 0.0000 0.0000 0.2573  3 Cu 2.92, 6 Ga 2.97-3.10
Ho 0.0000 0.0000 0.0789  6 Cu 2.97-3.10, 3 Ga 3.01
Ho 0.0000 0.0000 0.7438  6 Ga 2.97, 3 Cu 3.17
Ho 0.0000 0.0000 0.9227  6 Cu 2.96-3.09, 3 Ga 3.02
Cu 0.3333 0.6667 0.0057  3 Cu 2.50
Ho 0.0000 0.0000 0.4132  6 Ga 2.97, 3 Cu 3.15
Cu 0.6667 0.3333 0.9951  3 Cu 2.50
Ga 0.3333 0.6667 0.4864  3 Ga 2.56
Cu 0.6667 0.3333 0.3262  3 Ga 2.51
Ga 0.3333 0.6667 0.6704  3 Cu 2.51
Ga 0.6667 0.3333 0.1844  3 Ga 2.57

Output
ΔE_f (eV per atom): -0.536
Total DFT energy (no corrections) (eV for the cell shown): -77.723
Crystal system: trigonal
DOS at the Fermi energy (states/eV/atom): 0.426
Size of the total moment (μB per formula unit): 0.0


Here is a geometry-optimized Pr2ErAu2 structure from Alexandria via LeMat-Bulk. Energies are from PBE-GGA.

a = 4.0101 Å, b = 6.4045 Å, c = 6.4045 Å
α = 67.46°, β = 71.76°, γ = 71.76°
Last column: nearest neighbours and their distance in Å.
Positions (direct):
Pr 0.1996 0.3004 0.3004  4 Au 3.18
Au 0.5000 0.7098 0.2902  2 Er 2.88, 1 Au 2.99, 4 Pr 3.18
Pr 0.8004 0.6996 0.6996  4 Au 3.18
Er 0.0000 0.0000 0.0000  4 Au 2.88
Au 0.5000 0.2902 0.7098  2 Er 2.88, 1 Au 2.99, 4 Pr 3.18

Output
ΔE_f (eV per atom): -0.612
Total DFT energy (no corrections) (eV for the cell shown): -23.738
Crystal system: orthorhombic
DOS at the Fermi energy (states/eV/atom): 1.299
Size of the total moment (μB per formula unit): 0.0


Here is a geometry-optimized NaTbMgIn structure from Alexandria via LeMat-Bulk. Energies are from PBE-GGA.

a = 5.2270 Å, b = 5.2270 Å, c = 5.2270 Å
α = 60.00°, β = 60.00°, γ = 60.00°
Last column: nearest neighbours and their distance in Å.
Positions (direct):
In 0.2500 0.2500 0.2500  4 Tb 3.20, 4 Mg 3.20
Mg 0.5000 0.5000 0.5000  4 In 3.20, 4 Na 3.20
Na 0.7500 0.7500 0.7500  4 Mg 3.20, 4 Tb 3.20
Tb 0.0000 0.0000 0.0000  4 Na 3.20, 4 In 3.20

Output
ΔE_f (eV per atom): -0.116
Total DFT energy (no corrections) (eV for the cell shown): -10.746
Crystal system: cubic
DOS at the Fermi energy (states/eV/atom): 0.689
Size of the total moment (μB per formula unit): 0.0


What is the size of the total moment in the eighth record? 0.0 μB per formula unit


Look up the size of the total moment of the sixth one. 0.0 μB per formula unit


What did the sixth record say?
Here is a geometry-optimized Ho3Ga4Cu2 structure from Alexandria via LeMat-Bulk. Energies are from PBE-GGA.

a = 4.3076 Å, b = 4.3076 Å, c = 22.1808 Å
α = 90.00°, β = 90.00°, γ = 120.00°
Last column: nearest neighbours and their distance in Å.
Positions (direct):
Ga 0.6667 0.3333 0.5146  3 Ga 2.56
Ho 0.0000 0.0000 0.5881  3 Cu 2.90, 6 Ga 2.97-3.09
Cu 0.6667 0.3333 0.6554  3 Ga 2.51
Ga 0.6667 0.3333 0.8452  3 Ga 2.56
Ga 0.3333 0.6667 0.8171  3 Ga 2.56
Ga 0.3333 0.6667 0.1550  3 Ga 2.57
Ga 0.3333 0.6667 0.3404  3 Cu 2.51
Ho 0.0000 0.0000 0.2573  3 Cu 2.92, 6 Ga 2.97-3.10
Ho 0.0000 0.0000 0.0789  6 Cu 2.97-3.10, 3 Ga 3.01
Ho 0.0000 0.0000 0.7438  6 Ga 2.97, 3 Cu 3.17
Ho 0.0000 0.0000 0.9227  6 Cu 2.96-3.09, 3 Ga 3.02
Cu 0.3333 0.6667 0.0057  3 Cu 2.50
Ho 0.0000 0.0000 0.4132  6 Ga 2.97, 3 Cu 3.15
Cu 0.6667 0.3333 0.9951  3 Cu 2.50
Ga 0.3333 0.6667 0.4864  3 Ga 2.56
Cu 0.6667 0.3333 0.3262  3 Ga 2.51
Ga 0.3333 0.6667 0.6704  3 Cu 2.51
Ga 0.6667 0.3333 0.1844  3 Ga 2.57

Output
ΔE_f (eV per atom): -0.536
Total DFT energy (no corrections) (eV for the cell shown): -77.723
Crystal system: trigonal
DOS at the Fermi energy (states/eV/atom): 0.426
Size of the total moment (μB per formula unit): 0.0